Record 1
First-principles (GGA-PBEsol) data for an optimized crystal structure of SrAlP2, as listed in the Alexandria database.

```
SrAlP2
1.0
3.806 0.000 0.000
0.000 4.527 0.000
0.000 0.000 4.527
P Sr Al
2 1 1
Direct
0.000 0.500 0.000
0.000 0.000 0.500
0.500 0.500 0.500
0.500 0.000 0.000
```

Results
As for the space-group type: P4/mmm. For the density of states at the Fermi level, the calculation gives 1.63 states/eV per cell. The calculation puts the formation energy at -226 meV per atom.

Record 2
First-principles (GGA-PBEsol) data for an optimized crystal structure of SrTiAlP2, as listed in the Alexandria database.

```
SrTiAlP2
1.0
4.706 0.000 0.000
0.000 4.706 0.000
0.000 0.000 5.433
P Al Ti Sr
2 1 1 1
Direct
0.000 0.500 0.000
0.500 0.000 0.000
0.500 0.500 0.500
0.000 0.000 0.000
0.000 0.000 0.500
```

Results
As for the space-group type: P4/mmm. For the density of states at the Fermi level, the calculation gives 5.13 states/eV per cell. The calculation puts the formation energy at 303 meV per atom.

Record 3
First-principles (GGA-PBEsol) data for an optimized crystal structure of TaAl2P, as listed in the Alexandria database.

```
TaAl2P
1.0
-1.714 0.465 2.334
-3.238 -3.140 -1.753
3.416 -1.859 2.879
Al Ta P
2 1 1
Direct
0.000 0.500 0.000
0.000 0.000 0.500
0.500 0.500 0.500
0.500 0.000 0.000
```

Results
As for the space-group type: Cmmm. For the density of states at the Fermi level, the calculation gives 1.93 states/eV per cell. The calculation puts the formation energy at -107 meV per atom.

Record 4
First-principles (GGA-PBEsol) data for an optimized crystal structure of TaAlP2, as listed in the Alexandria database.

```
TaAlP2
1.0
-0.956 1.920 2.711
0.212 -2.780 2.043
4.987 1.101 0.979
Ta Al P
1 1 2
Direct
0.000 0.000 0.430
0.500 0.500 0.808
0.500 0.500 0.336
0.000 0.000 0.926
```

Results
As for the space-group type: P4mm. For the density of states at the Fermi level, the calculation gives 1.62 states/eV per cell. The calculation puts the formation energy at -404 meV per atom.

Record 5
First-principles (GGA-PBEsol) data for an optimized crystal structure of TaAlP2, as listed in the Alexandria database.

```
TaAlP2
1.0
3.145 0.000 0.000
0.000 4.253 0.000
0.000 0.000 4.323
Ta P Al
1 2 1
Direct
0.500 0.500 0.000
0.000 0.500 0.500
0.000 0.000 0.000
0.500 0.000 0.500
```

Results
As for the space-group type: Pmmm. For the density of states at the Fermi level, the calculation gives 2.10 states/eV per cell. The calculation puts the formation energy at -186 meV per atom.

Record 6
First-principles (GGA-PBEsol) data for an optimized crystal structure of TaAl2P, as listed in the Alexandria database.

```
TaAl2P
1.0
-2.949 -3.191 0.934
1.399 -3.976 1.407
-0.681 -1.232 4.215
Ta Al P
1 2 1
Direct
0.250 0.250 0.250
0.750 0.750 0.750
0.000 0.000 0.000
0.500 0.500 0.500
```

Results
As for the space-group type: F-43m. For the density of states at the Fermi level, the calculation gives 3.24 states/eV per cell. The calculation puts the formation energy at 199 meV per atom.

Record 7
First-principles (GGA-PBEsol) data for an optimized crystal structure of AlTcP2, as listed in the Alexandria database.

```
AlTcP2
1.0
3.183 0.000 0.000
0.000 3.825 0.000
0.000 0.000 4.486
Tc P Al
1 2 1
Direct
0.500 0.500 0.000
0.500 0.000 0.500
0.000 0.000 0.000
0.000 0.500 0.500
```

Results
As for the space-group type: Pmmm. For the density of states at the Fermi level, the calculation gives 2.12 states/eV per cell. The calculation puts the formation energy at 126 meV per atom.

Record 8
First-principles (GGA-PBEsol) data for an optimized crystal structure of AlTcP2, as listed in the Alexandria database.

```
AlTcP2
1.0
-2.791 0.364 -1.618
2.109 -0.465 -3.744
0.773 -4.258 0.965
P Tc Al
2 1 1
Direct
0.315 0.500 0.630
0.899 0.000 0.798
0.184 0.000 0.368
0.595 0.500 0.190
```

Results
As for the space-group type: Amm2. For the density of states at the Fermi level, the calculation gives 1.55 states/eV per cell. The calculation puts the formation energy at -289 meV per atom.

Record 9
First-principles (GGA-PBEsol) data for an optimized crystal structure of AlTcP2, as listed in the Alexandria database.

```
AlTcP2
1.0
-0.273 1.741 2.305
-2.293 0.047 -1.777
-3.077 -5.544 3.825
P Tc Al
2 1 1
Direct
0.000 0.000 0.741
0.000 0.000 0.259
0.500 0.500 0.500
0.500 0.500 0.000
```

Results
As for the space-group type: Cmmm. For the density of states at the Fermi level, the calculation gives 2.54 states/eV per cell. The calculation puts the formation energy at 97 meV per atom.

Record 10
First-principles (GGA-PBEsol) data for an optimized crystal structure of Al2TcP, as listed in the Alexandria database.

```
Al2TcP
1.0
-2.946 -2.211 -0.934
2.189 -3.082 0.389
-0.607 2.410 3.943
Al P Tc
2 1 1
Direct
0.750 0.250 0.500
0.000 0.000 0.000
0.500 0.500 0.000
0.250 0.750 0.500
```

Results
As for the space-group type: I-4m2. For the density of states at the Fermi level, the calculation gives 1.81 states/eV per cell. The calculation puts the formation energy at -75 meV per atom.

Record 11
First-principles (GGA-PBEsol) data for an optimized crystal structure of Al2TcP, as listed in the Alexandria database.

```
Al2TcP
1.0
-0.162 2.768 0.021
-2.768 -0.161 -0.065
-0.174 -0.068 7.534
Tc P Al
1 1 2
Direct
0.500 0.500 0.500
0.500 0.500 0.000
0.000 0.000 0.263
0.000 0.000 0.737
```

Results
As for the space-group type: P4/mmm. For the density of states at the Fermi level, the calculation gives 3.16 states/eV per cell. The calculation puts the formation energy at 7 meV per atom.

Record 12
First-principles (GGA-PBEsol) data for an optimized crystal structure of Al2TcP, as listed in the Alexandria database.

```
Al2TcP
1.0
-0.386 0.426 3.206
2.754 -2.884 0.715
3.012 2.872 -0.018
Al P Tc
2 1 1
Direct
0.000 0.000 0.000
0.500 0.000 0.500
0.500 0.500 0.000
0.000 0.500 0.500
```

Results
As for the space-group type: Pmmm. For the density of states at the Fermi level, the calculation gives 2.31 states/eV per cell. The calculation puts the formation energy at -52 meV per atom.

Repeat the fourth record exactly.
First-principles (GGA-PBEsol) data for an optimized crystal structure of TaAlP2, as listed in the Alexandria database.

```
TaAlP2
1.0
-0.956 1.920 2.711
0.212 -2.780 2.043
4.987 1.101 0.979
Ta Al P
1 1 2
Direct
0.000 0.000 0.430
0.500 0.500 0.808
0.500 0.500 0.336
0.000 0.000 0.926
```

Results
As for the space-group type: P4mm. For the density of states at the Fermi level, the calculation gives 1.62 states/eV per cell. The calculation puts the formation energy at -404 meV per atom.